Below is an optimized crystal structure of ZrHgSe2, with properties calculated at the PBE level.

The structure in CIF format:
```
data_ZrHgSe2
_chemical_formula_sum 'Zr2 Hg2 Se4'
_cell_length_a 3.5551
_cell_length_b 5.3613
_cell_length_c 12.1553
_cell_angle_alpha 90.00
_cell_angle_beta 90.00
_cell_angle_gamma 90.00
_symmetry_space_group_name_H-M 'I m m m'
_symmetry_Int_Tables_number 71
_symmetry_space_group_name_Hall '-I 2 2'
loop_
_atom_site_label
_atom_site_type_symbol
_atom_site_fract_x
_atom_site_fract_y
_atom_site_fract_z
Zr1 Zr 0.0000 0.0000 0.0000
Hg1 Hg 0.0000 0.0000 0.5000
Se1 Se 0.0000 0.5000 0.3402
```

Output
E_form (uncorrected) ... -57 kJ per mole of atoms
Energy ... -4.54 eV per atom
Energy relative to the lowest polymorph listed for this composition ... 0.405 eV per atom